# Sn2HBr PBE relaxed
# density of states at the Fermi level: 0.01 states/eV/f.u.
# E: -48.9 eV per cell
# ΔE to the lowest computed polymorph: 0 meV/atom
data_Sn2HBr
_cell_length_a 5.896
_cell_length_b 5.896
_cell_length_c 12.251
_cell_angle_alpha 90.00
_cell_angle_beta 90.00
_cell_angle_gamma 90.00
_symmetry_space_group_name_H-M 'I -4 2 d'
_symmetry_Int_Tables_number 122
_symmetry_space_group_name_Hall 'I -4 2bw'
loop_
_atom_site_label
_atom_site_type_symbol
_atom_site_fract_x
_atom_site_fract_y
_atom_site_fract_z
Sn1 Sn 0.108 0.250 0.125
H1 H 0.000 0.000 0.000
Br1 Br 0.000 0.000 0.500